# Y2MoBr | Alexandria | SCAN | PBEsol geometry
# Energy above the most stable polymorph in this dataset = 0.000 eV/atom
# Magnetic moment = 0.228 μB per atom
# Formation energy without anion corrections = -0.154 eV/atom
data_Y2MoBr
_space_group_name_H-M_alt 'A m m 2'
_space_group_IT_number 38
_cell_length_a 4.882
_cell_length_b 3.430
_cell_length_c 10.628
_cell_angle_alpha 90.00
_cell_angle_beta 90.00
_cell_angle_gamma 90.00
loop_
_space_group_symop_operation_xyz
'x,y,z'
'-x,-y,z'
'-x,y,z'
'x,-y,z'
'x,y+1/2,z+1/2'
'-x,-y+1/2,z+1/2'
'-x,y+1/2,z+1/2'
'x,-y+1/2,z+1/2'
loop_
_atom_site_label
_atom_site_type_symbol
_atom_site_fract_x
_atom_site_fract_y
_atom_site_fract_z
Y1 Y 0.000 0.000 0.000
Y2 Y 0.500 0.000 0.282
Mo1 Mo 0.000 0.000 0.744
Br1 Br 0.500 0.000 0.556